[1]
VASP calculation (PBE-GGA) on crystalline BaHgPb at its relaxed geometry.

Cell and atoms, written as POSCAR:
```
BaHgPb
1.0
0.000 3.831 3.831
3.831 0.000 3.831
3.831 3.831 0.000
Ba Hg Pb
1 1 1
Direct
0.000 0.000 0.000
0.750 0.750 0.750
0.500 0.500 0.500
```

Calculated values
As for the symmetry: No. 216. The density of states at the Fermi level comes out at 0.335 states/eV per atom. For the energy relative to the elements, the calculation gives -438 meV per atom.

[2]
VASP calculation (PBE-GGA) on crystalline BaHgPb at its relaxed geometry.

Cell and atoms, written as POSCAR:
```
BaHgPb
1.0
6.337 -2.630 0.000
6.337 2.630 0.000
-6.026 0.000 6.389
Ba Hg Pb
2 2 2
Direct
0.000 0.000 0.000
0.000 0.000 0.500
0.326 0.326 0.584
0.674 0.674 0.416
0.334 0.334 0.032
0.666 0.666 0.968
```

Calculated values
As for the symmetry: No. 12. The density of states at the Fermi level comes out at 0.422 states/eV per atom. For the energy relative to the elements, the calculation gives -473 meV per atom.

[3]
VASP calculation (PBE-GGA) on crystalline BaHg4Pb at its relaxed geometry.

Cell and atoms, written as POSCAR:
```
BaHg4Pb
1.0
5.720 0.000 0.000
0.000 5.337 0.000
-2.760 0.000 5.876
Ba Hg Pb
1 4 1
Direct
0.000 0.000 0.000
0.185 0.500 0.368
0.321 0.000 0.640
0.679 0.000 0.360
0.815 0.500 0.632
0.500 0.500 0.000
```

Calculated values
As for the symmetry: No. 10. The density of states at the Fermi level comes out at 0.442 states/eV per atom. For the energy relative to the elements, the calculation gives -276 meV per atom.

[4]
VASP calculation (PBE-GGA) on crystalline Ba2HgPd3Pb4 at its relaxed geometry.

Cell and atoms, written as POSCAR:
```
Ba2HgPd3Pb4
1.0
4.996 0.000 0.000
0.000 4.996 0.000
0.000 0.000 11.233
Ba Hg Pd Pb
2 1 3 4
Direct
0.000 0.500 0.246
0.500 0.000 0.754
0.500 0.500 0.000
0.000 0.000 0.000
0.000 0.500 0.620
0.500 0.000 0.380
0.000 0.000 0.500
0.000 0.500 0.864
0.500 0.000 0.136
0.500 0.500 0.500
```

Calculated values
As for the symmetry: No. 115. The density of states at the Fermi level comes out at 0.508 states/eV per atom. For the energy relative to the elements, the calculation gives -447 meV per atom.

What is the energy relative to the elements in the second record? -473 meV per atom

The highest energy relative to the elements belongs to which entry? BaHg4Pb